1.
## MgPaAsN (PBE-GGA)

Data for a geometry-optimized MgPaAsN structure.

Total magnetization (μB/f.u.): 0.0
Formation energy from raw total energies (eV per formula unit): -4.5

Cell: 4.0845 4.0845 31.8570 Å, 90.00 90.00 120.00°
Space group R-3m (No. 166, hexagonal axes)
Symmetry-distinct sites (fractional):
Mg 0.0000 0.0000 0.1967 (multiplicity 6)
Pa 0.0000 0.0000 0.3751 (multiplicity 6)
As 0.0000 0.0000 0.1067 (multiplicity 6)
N 0.0000 0.0000 0.3074 (multiplicity 6)

=====

2.
## MgAsS2N (PBE-GGA)

Data for a geometry-optimized MgAsS2N structure.

Total magnetization (μB/f.u.): 2.2
Formation energy from raw total energies (eV per formula unit): 4.1
Offset from the most stable computed form (eV/atom): 0.4402

Cell: 4.8796 4.8796 3.9243 Å, 90.00 90.00 90.00°
Space group P4/mmm (No. 123)
Symmetry-distinct sites (fractional):
Mg 0.0000 0.0000 0.0000 (multiplicity 1)
As 0.5000 0.5000 0.5000 (multiplicity 1)
S 0.0000 0.5000 0.0000 (multiplicity 2)
N 0.0000 0.0000 0.5000 (multiplicity 1)

=====

3.
## Mg2AsSN (PBE-GGA)

Data for a geometry-optimized Mg2AsSN structure.

Total magnetization (μB/f.u.): 0.0
Formation energy from raw total energies (eV per formula unit): 1.0

Cell: 5.0017 5.0017 3.4429 Å, 90.00 90.00 90.00°
Space group P4/mmm (No. 123)
Symmetry-distinct sites (fractional):
Mg 0.0000 0.5000 0.0000 (multiplicity 2)
As 0.0000 0.0000 0.5000 (multiplicity 1)
S 0.5000 0.5000 0.0000 (multiplicity 1)
N 0.5000 0.5000 0.5000 (multiplicity 1)

=====

4.
## MgAsS2N (PBE-GGA)

Data for a geometry-optimized MgAsS2N structure.

Total magnetization (μB/f.u.): 0.0
Formation energy from raw total energies (eV per formula unit): 1.9
Offset from the most stable computed form (eV/atom): 0.0000

Cell: 4.8830 4.8830 3.6151 Å, 90.00 90.00 90.00°
Space group P4/mmm (No. 123)
Symmetry-distinct sites (fractional):
Mg 0.0000 0.0000 0.0000 (multiplicity 1)
As 0.5000 0.5000 0.5000 (multiplicity 1)
S 0.0000 0.5000 0.5000 (multiplicity 2)
N 0.5000 0.5000 0.0000 (multiplicity 1)

=====

5.
## MgSc2AsN (PBE-GGA)

Data for a geometry-optimized MgSc2AsN structure.

Total magnetization (μB/f.u.): 0.0
Formation energy from raw total energies (eV per formula unit): -5.0

Cell: 4.4269 4.4269 4.1401 Å, 90.00 90.00 90.00°
Space group P4/mmm (No. 123)
Symmetry-distinct sites (fractional):
Mg 0.0000 0.0000 0.0000 (multiplicity 1)
Sc 0.0000 0.5000 0.5000 (multiplicity 2)
As 0.5000 0.5000 0.0000 (multiplicity 1)
N 0.0000 0.0000 0.5000 (multiplicity 1)

=====

6.
## MgAsSeN2 (PBE-GGA)

Data for a geometry-optimized MgAsSeN2 structure.

Total magnetization (μB/f.u.): 3.1
Formation energy from raw total energies (eV per formula unit): 6.6
Offset from the most stable computed form (eV/atom): 0.5862

Cell: 4.0915 4.0915 5.4433 Å, 90.00 90.00 90.00°
Space group P4/mmm (No. 123)
Symmetry-distinct sites (fractional):
Mg 0.0000 0.0000 0.0000 (multiplicity 1)
As 0.5000 0.5000 0.5000 (multiplicity 1)
Se 0.0000 0.0000 0.5000 (multiplicity 1)
N 0.0000 0.5000 0.0000 (multiplicity 2)

=====

7.
## MgAs2SeN (PBE-GGA)

Data for a geometry-optimized MgAs2SeN structure.

Total magnetization (μB/f.u.): 0.0
Formation energy from raw total energies (eV per formula unit): 2.8
Offset from the most stable computed form (eV/atom): 0.0000

Cell: 4.3514 4.3514 4.6365 Å, 90.00 90.00 90.00°
Space group P4/mmm (No. 123)
Symmetry-distinct sites (fractional):
Mg 0.0000 0.0000 0.0000 (multiplicity 1)
As 0.0000 0.5000 0.5000 (multiplicity 2)
Se 0.5000 0.5000 0.0000 (multiplicity 1)
N 0.5000 0.5000 0.5000 (multiplicity 1)

=====

8.
## MgAsSeN2 (PBE-GGA)

Data for a geometry-optimized MgAsSeN2 structure.

Total magnetization (μB/f.u.): 0.7
Formation energy from raw total energies (eV per formula unit): 3.7
Offset from the most stable computed form (eV/atom): 0.0000

Cell: 3.7268 3.7268 5.9275 Å, 90.00 90.00 90.00°
Space group P4/mmm (No. 123)
Symmetry-distinct sites (fractional):
Mg 0.0000 0.0000 0.0000 (multiplicity 1)
As 0.5000 0.5000 0.5000 (multiplicity 1)
Se 0.5000 0.5000 0.0000 (multiplicity 1)
N 0.0000 0.5000 0.5000 (multiplicity 2)

=====

9.
## MgAs2SeN (PBE-GGA)

Data for a geometry-optimized MgAs2SeN structure.

Total magnetization (μB/f.u.): 2.6
Formation energy from raw total energies (eV per formula unit): 7.6
Offset from the most stable computed form (eV/atom): 0.9716

Cell: 5.0375 5.0375 5.0105 Å, 90.00 90.00 90.00°
Space group P4/mmm (No. 123)
Symmetry-distinct sites (fractional):
Mg 0.0000 0.0000 0.0000 (multiplicity 1)
As 0.0000 0.5000 0.0000 (multiplicity 2)
Se 0.0000 0.0000 0.5000 (multiplicity 1)
N 0.5000 0.5000 0.5000 (multiplicity 1)

=====

10.
## Sr2MgAsN (PBE-GGA)

Data for a geometry-optimized Sr2MgAsN structure.

Total magnetization (μB/f.u.): 0.0
Formation energy from raw total energies (eV per formula unit): -4.1
Offset from the most stable computed form (eV/atom): 0.0000

Cell: 5.2261 5.2261 4.2135 Å, 90.00 90.00 90.00°
Space group P4/mmm (No. 123)
Symmetry-distinct sites (fractional):
Sr 0.0000 0.5000 0.0000 (multiplicity 2)
Mg 0.0000 0.0000 0.5000 (multiplicity 1)
As 0.5000 0.5000 0.5000 (multiplicity 1)
N 0.0000 0.0000 0.0000 (multiplicity 1)

=====

11.
## Sr2MgAsN (PBE-GGA)

Data for a geometry-optimized Sr2MgAsN structure.

Total magnetization (μB/f.u.): 0.0
Formation energy from raw total energies (eV per formula unit): 1.7
Offset from the most stable computed form (eV/atom): 1.1697

Cell: 5.8197 5.8197 4.8067 Å, 90.00 90.00 90.00°
Space group P4/mmm (No. 123)
Symmetry-distinct sites (fractional):
Sr 0.0000 0.5000 0.0000 (multiplicity 2)
Mg 0.0000 0.0000 0.5000 (multiplicity 1)
As 0.0000 0.0000 0.0000 (multiplicity 1)
N 0.5000 0.5000 0.5000 (multiplicity 1)

=====

12.
## SrMgAs2N (PBE-GGA)

Data for a geometry-optimized SrMgAs2N structure.

Total magnetization (μB/f.u.): 2.1
Formation energy from raw total energies (eV per formula unit): 4.8

Cell: 4.7586 4.7586 6.4664 Å, 90.00 90.00 90.00°
Space group P4/mmm (No. 123)
Symmetry-distinct sites (fractional):
Sr 0.0000 0.0000 0.0000 (multiplicity 1)
Mg 0.0000 0.0000 0.5000 (multiplicity 1)
As 0.0000 0.5000 0.5000 (multiplicity 2)
N 0.5000 0.5000 0.0000 (multiplicity 1)

=====

Number 1: DOS(E_F) 0.47 states/eV per atom. Number 2: DOS(E_F) 0.51 states/eV per atom. Number 3: DOS(E_F) 0.31 states/eV per atom. Number 4: DOS(E_F) 0.68 states/eV per atom. Number 5: DOS(E_F) 0.75 states/eV per atom. Number 6: DOS(E_F) 0.56 states/eV per atom. Number 7: DOS(E_F) 0.71 states/eV per atom. Number 8: DOS(E_F) 0.33 states/eV per atom. Number 9: DOS(E_F) 0.77 states/eV per atom. Number 10: DOS(E_F) 0.07 states/eV per atom. Number 11: DOS(E_F) 0.09 states/eV per atom. Number 12: DOS(E_F) 0.93 states/eV per atom.